# 1
Here is LaTa2Ir2 at its PBEsol-relaxed geometry from Alexandria via LeMat-Bulk. Energies are from SCAN.

Energy of formation from the pure elements   -821 meV per atom
Energy   -64.515 eV/atom

a b c (Å): 4.434 4.434 6.140
angles (deg): 111.17 111.17 90.00
Fractional coordinates of all 5 atoms:
Ir 0.373 0.373 0.746
Ir 0.627 0.627 0.254
Ta 0.750 0.250 0.500
Ta 0.250 0.750 0.500
La 0.000 0.000 0.000



# 2
Here is LaTa2Ir at its PBEsol-relaxed geometry from Alexandria via LeMat-Bulk. Energies are from SCAN.

Energy above the lowest structure with this stoichiometry   33.2 meV per atom
Energy of formation from the pure elements   28 meV per atom
Energy   -61.814 eV/atom

a b c (Å): 2.943 5.007 6.221
angles (deg): 113.73 103.68 90.00
Fractional coordinates of all 4 atoms:
Ir 0.500 0.000 0.000
Ta 0.212 0.212 0.424
La 0.000 0.500 0.000
Ta 0.788 0.788 0.576



# 3
Here is LaTa3Ir at its PBEsol-relaxed geometry from Alexandria via LeMat-Bulk. Energies are from SCAN.

Energy of formation from the pure elements   2561 meV per atom
Energy   -60.230 eV/atom

a b c (Å): 4.738 4.738 4.738
angles (deg): 90.00 90.00 90.00
Fractional coordinates of all 5 atoms:
La 0.000 0.000 0.000
Ta 0.000 0.000 0.500
Ir 0.500 0.500 0.500
Ta 0.500 0.000 0.000
Ta 0.000 0.500 0.000



Q: The lowest energy belongs to which entry?
A: LaTa2Ir2



Q: What is the energy of formation from the pure elements in the first record?
A: -821 meV per atom